The following is a DFT calculation (PBE) of a relaxed structure of Mg7In3Pb.

Cell lengths 10.5466, 11.0633, 5.6630 Å; angles 90.00, 122.09, 90.00 degrees
With the nearest neighbours (Å) after each atom.
Space group C2/m (No. 12)
Unique sites:
Mg 0.0000 0.0000 0.0000  2 Pb 2.83, 2 In 2.99
Mg 0.1733 0.2746 0.6740  4 In 2.94-3.24, 3 Mg 3.10-3.19
Mg 0.1752 0.5000 0.1684  1 Pb 2.90, 3 In 2.99-3.21, 1 Mg 3.13
In 0.0000 0.2702 0.0000  9 Mg 2.96-3.24
In 0.0000 0.5000 0.5000  8 Mg 2.94-3.26
Pb 0.0000 0.0000 0.5000  4 Mg 2.83-2.90

For the total magnetization, the calculation gives 0.000 μB per atom. Its density of states at the Fermi level is 5.6 states/eV per cell. Its energy is -2.08 eV/atom.